(1)
Ba3TmPt2O9 (GGA-PBE, relaxed); density of states at the Fermi level = 14.9 states/eV per cell; ΔE_f (raw) = -1948 meV per atom; final energy = -6.41 eV per atom; volume = 14.48 Å³/atom
1.0
5.886 0.000 0.000
-2.943 5.098 0.000
0.000 0.000 7.241
Ba Tm Pt O
3 1 2 9
Direct
0.000 0.000 0.000
0.333 0.667 0.679
0.667 0.333 0.321
0.000 0.000 0.500
0.333 0.667 0.166
0.667 0.333 0.834
0.000 0.500 0.000
0.174 0.348 0.324
0.174 0.826 0.324
0.348 0.174 0.676
0.500 0.000 0.000
0.500 0.500 0.000
0.652 0.826 0.324
0.826 0.174 0.676
0.826 0.652 0.676



(2)
Ba3TmPt2O6 (GGA-PBE, relaxed); density of states at the Fermi level = 8.9 states/eV per cell; ΔE_f (raw) = -1783 meV per atom; final energy = -6.12 eV per atom; volume = 17.89 Å³/atom
1.0
5.971 0.000 0.000
-2.985 5.171 0.000
0.000 0.000 6.954
Ba Tm Pt O
3 1 2 6
Direct
0.000 0.000 0.000
0.333 0.667 0.651
0.667 0.333 0.349
0.000 0.000 0.500
0.333 0.667 0.141
0.667 0.333 0.859
0.169 0.337 0.312
0.169 0.831 0.312
0.337 0.169 0.688
0.663 0.831 0.312
0.831 0.169 0.688
0.831 0.663 0.688



(3)
Ba2TmPtO5 (GGA-PBE, relaxed); density of states at the Fermi level = 4.7 states/eV per cell; ΔE_f (raw) = -2158 meV per atom; final energy = -6.51 eV per atom; volume = 16.40 Å³/atom
1.0
1.769 -6.979 0.000
1.769 6.979 0.000
0.000 0.000 11.955
Ba Tm Pt O
4 2 2 10
Direct
0.097 0.903 0.500
0.150 0.850 0.120
0.850 0.150 0.620
0.903 0.097 0.000
0.207 0.793 0.836
0.793 0.207 0.336
0.479 0.521 0.264
0.521 0.479 0.764
0.053 0.947 0.872
0.277 0.723 0.451
0.332 0.668 0.214
0.371 0.629 0.804
0.485 0.515 0.600
0.515 0.485 0.100
0.629 0.371 0.304
0.668 0.332 0.714
0.723 0.277 0.951
0.947 0.053 0.372



(4)
Ba17Tm16Zn8Pt4O57 (GGA-PBE, relaxed); density of states at the Fermi level = 0.0 states/eV per cell; ΔE_f (raw) = -2627 meV per atom; final energy = -6.76 eV per atom; volume = 14.80 Å³/atom
1.0
-11.484 11.484 2.861
11.484 -11.484 2.861
11.484 11.484 -2.861
Ba Tm Zn Pt O
17 16 8 4 57
Direct
0.000 0.000 0.000
0.068 0.443 0.511
0.112 0.276 0.388
0.189 0.732 0.921
0.268 0.189 0.456
0.276 0.888 0.164
0.343 0.649 0.992
0.351 0.343 0.694
0.443 0.932 0.374
0.557 0.068 0.626
0.649 0.657 0.306
0.657 0.351 0.008
0.724 0.112 0.836
0.732 0.811 0.544
0.811 0.268 0.079
0.888 0.724 0.612
0.932 0.557 0.489
0.049 0.675 0.724
0.052 0.828 0.880
0.172 0.052 0.224
0.252 0.506 0.758
0.325 0.049 0.375
0.401 0.511 0.912
0.489 0.401 0.890
0.494 0.252 0.745
0.506 0.748 0.255
0.511 0.599 0.110
0.599 0.489 0.088
0.675 0.951 0.625
0.748 0.494 0.242
0.828 0.948 0.776
0.948 0.172 0.120
0.951 0.325 0.276
0.075 0.133 0.207
0.133 0.925 0.058
0.213 0.380 0.593
0.380 0.787 0.167
0.620 0.213 0.833
0.787 0.620 0.407
0.867 0.075 0.942
0.925 0.867 0.793
0.144 0.583 0.727
0.417 0.144 0.562
0.583 0.856 0.438
0.856 0.417 0.273
0.000 0.176 0.683
0.000 0.824 0.317
0.054 0.565 0.620
0.073 0.720 0.310
0.076 0.278 0.852
0.113 0.880 0.478
0.120 0.598 0.233
0.158 0.158 0.315
0.158 0.842 0.000
0.162 0.187 0.846
0.176 0.494 0.176
0.187 0.341 0.025
0.224 0.076 0.798
0.232 0.607 0.839
0.237 0.927 0.647
0.240 0.299 0.539
0.278 0.426 0.202
0.280 0.590 0.353
0.299 0.760 0.059
0.316 0.162 0.975
0.317 0.000 0.824
0.341 0.316 0.154
0.365 0.887 0.767
0.393 0.232 0.625
0.402 0.635 0.522
0.410 0.763 0.690
0.426 0.224 0.148
0.435 0.054 0.489
0.494 0.317 0.317
0.500 0.500 0.000
0.506 0.683 0.683
0.565 0.946 0.511
0.574 0.776 0.852
0.590 0.237 0.310
0.598 0.365 0.478
0.607 0.768 0.375
0.635 0.113 0.233
0.659 0.684 0.846
0.683 0.000 0.176
0.684 0.838 0.025
0.701 0.240 0.941
0.720 0.410 0.647
0.722 0.574 0.798
0.760 0.701 0.461
0.763 0.073 0.353
0.768 0.393 0.161
0.776 0.924 0.202
0.813 0.659 0.975
0.824 0.506 0.824
0.838 0.813 0.154
0.842 0.158 0.000
0.842 0.842 0.685
0.880 0.402 0.767
0.887 0.120 0.522
0.924 0.722 0.148
0.927 0.280 0.690
0.946 0.435 0.380



(5)
Ba2UPt3O12 (GGA-PBE, relaxed); density of states at the Fermi level = 4.5 states/eV per cell; ΔE_f (raw) = -1580 meV per atom; final energy = -6.73 eV per atom; volume = 15.41 Å³/atom
1.0
3.590 2.073 6.213
-3.590 2.073 6.213
0.000 -4.145 6.213
Ba U Pt O
2 1 3 12
Direct
0.106 0.106 0.106
0.894 0.894 0.894
0.500 0.500 0.500
0.000 0.500 0.500
0.500 0.000 0.500
0.500 0.500 0.000
0.158 0.581 0.581
0.169 0.169 0.602
0.169 0.602 0.169
0.398 0.831 0.831
0.419 0.419 0.842
0.419 0.842 0.419
0.581 0.158 0.581
0.581 0.581 0.158
0.602 0.169 0.169
0.831 0.398 0.831
0.831 0.831 0.398
0.842 0.419 0.419



(6)
BaUPtO6 (GGA-PBE, relaxed); ΔE_f (raw) = -2253 meV per atom; final energy = -7.70 eV per atom; volume = 17.02 Å³/atom
1.0
5.433 0.000 0.000
-2.717 4.705 0.000
0.000 0.000 11.986
Ba U Pt O
2 2 2 12
Direct
0.000 0.000 0.000
0.000 0.000 0.500
0.333 0.667 0.250
0.667 0.333 0.750
0.333 0.667 0.750
0.667 0.333 0.250
0.008 0.370 0.653
0.008 0.638 0.847
0.362 0.370 0.847
0.362 0.992 0.653
0.370 0.008 0.153
0.370 0.362 0.347
0.630 0.638 0.653
0.630 0.992 0.847
0.638 0.008 0.347
0.638 0.630 0.153
0.992 0.362 0.153
0.992 0.630 0.347